[1]
Material: Sc5Tl6Ag
Method: DFT, PBE
State: relaxed

Fermi-level density of states: 8.8 states/eV/cell
E_form: -193 meV per atom
Spin magnetization: 0.00 μB/atom
VASP energy: -4.25 eV per atom

Unit cell a=8.811 b=8.811 c=4.957 alpha=106.31 beta=106.31 gamma=119.22
Fractional coordinates of all 12 atoms:
1 Sc 0.000 0.000 0.000
2 Sc 0.169 0.831 0.500
3 Sc 0.344 0.656 0.000
4 Sc 0.656 0.344 0.000
5 Sc 0.831 0.169 0.500
6 Tl 0.082 0.416 0.250
7 Tl 0.246 0.246 0.746
8 Tl 0.416 0.082 0.250
9 Tl 0.584 0.918 0.750
10 Tl 0.754 0.754 0.254
11 Tl 0.918 0.584 0.750
12 Ag 0.500 0.500 0.500



[2]
Material: Ac7Tb4Sm
Method: DFT, PBE
State: relaxed

Fermi-level density of states: 18.8 states/eV/cell
E_form: 129 meV per atom
Spin magnetization: 0.00 μB/atom
VASP energy: -4.20 eV per atom

Unit cell a=7.005 b=7.088 c=10.008 alpha=90.53 beta=103.78 gamma=95.43
Fractional coordinates of all 12 atoms:
1 Ac 0.000 0.000 0.000
2 Ac 0.200 0.364 0.594
3 Ac 0.295 0.832 0.371
4 Ac 0.489 0.248 0.938
5 Ac 0.511 0.752 0.062
6 Ac 0.705 0.168 0.629
7 Ac 0.800 0.636 0.406
8 Tb 0.164 0.848 0.713
9 Tb 0.358 0.327 0.270
10 Tb 0.642 0.673 0.730
11 Tb 0.836 0.152 0.287
12 Sm 0.000 0.500 0.000